# VCrN2F (PBE with a Hubbard U, relaxed)
# Excess energy over the best structure of this formula in the dataset ... 335 meV per atom
# Raw total energy ... -6.53 eV/atom
# Total magnetization ... 4.0 μB per cell
data_VCrN2F
_chemical_formula_sum 'V1 Cr1 N2 F1'
_space_group_name_H-M_alt 'P 4/m m m'
_space_group_IT_number 123
_space_group_name_Hall '-P 4 2'
_cell_length_a 3.849
_cell_length_b 3.849
_cell_length_c 3.794
_cell_angle_alpha 90.00
_cell_angle_beta 90.00
_cell_angle_gamma 90.00
loop_
_atom_site_label
_atom_site_type_symbol
_atom_site_fract_x
_atom_site_fract_y
_atom_site_fract_z
_atom_site_occupancy
V1 V 0.000 0.000 0.000 1
Cr1 Cr 0.500 0.500 0.500 1
N1 N 0.000 0.500 0.500 1
F1 F 0.500 0.500 0.000 1